Computed, not measured: crystalline Na2SmH8Rh at its relaxed geometry at the PBE level of DFT.

Summary:
* magnetic moment: 0.000 μB/f.u.
* VASP energy: -45.36 eV/cell

a = 4.774 Å, b = 4.774 Å, c = 6.187 Å
α = 90.00°, β = 90.00°, γ = 120.00°
Element x y z (fractional)
Na  0.333  0.667  0.363
Na  0.667  0.333  0.637
Sm  0.000  0.000  0.000
H  0.158  0.317  0.667
H  0.158  0.842  0.667
H  0.317  0.158  0.333
H  0.333  0.667  0.007
H  0.667  0.333  0.993
H  0.683  0.842  0.667
H  0.842  0.158  0.333
H  0.842  0.683  0.333
Rh  0.000  0.000  0.500

Computed, not measured: crystalline BaCdAsI at its relaxed geometry at the PBE level of DFT.

Summary:
* magnetic moment: 0.000 μB/f.u.
* formation energy without anion corrections: -4.1 eV/f.u.
* VASP energy: -26.30 eV/cell

a = 15.995 Å, b = 15.995 Å, c = 15.995 Å
α = 16.93°, β = 16.93°, γ = 16.93°
Element x y z (fractional)
Ba  0.081  0.081  0.081
Ba  0.919  0.919  0.919
Cd  0.312  0.312  0.312
Cd  0.688  0.688  0.688
As  0.372  0.372  0.372
As  0.628  0.628  0.628
I  0.208  0.208  0.208
I  0.792  0.792  0.792

Computed, not measured: crystalline CeY4Tm4 at its relaxed geometry at the PBE level of DFT.

Summary:
* magnetic moment: 1.189 μB/f.u.
* DFT formation energy: 0.05 eV/atom
* VASP energy: -49.24 eV/cell

a = 7.896 Å, b = 7.896 Å, c = 7.896 Å
α = 95.76°, β = 95.76°, γ = 143.06°
Element x y z (fractional)
Ce  0.000  0.000  0.000
Y  0.000  0.331  0.331
Y  0.000  0.669  0.669
Y  0.331  0.000  0.331
Y  0.669  0.000  0.669
Tm  0.335  0.335  0.670
Tm  0.335  0.665  0.000
Tm  0.665  0.335  0.000
Tm  0.665  0.665  0.330

Question: Among the records above, which one has the highest VASP energy?
Answer: BaCdAsI

Question: What is the formula in the first record?
Answer: Na2SmH8Rh

Question: Look up the VASP energy of the second one.
Answer: -26.30 eV/cell